(1)
VASP calculation (PBE) on Tm2GaPt3 after structural relaxation.

Computed properties:
M_tot (μB per atom): 0.000
Density of states at the Fermi level (states/eV/atom): 0.692
Energy of formation from the pure elements (eV per atom): -1.13

a b c (Å): 5.5254 5.5254 8.3669
angles (deg): 90.00 90.00 120.00
Fractional positions:
Tm  0.6667  0.3333  0.4434
Tm  0.3333  0.6667  0.5566
Tm  0.3333  0.6667  0.9434
Tm  0.6667  0.3333  0.0566
Ga  0.0000  0.0000  0.5000
Ga  0.0000  0.0000  0.0000
Pt  0.1688  0.3376  0.2500
Pt  0.3376  0.1688  0.7500
Pt  0.8312  0.6624  0.7500
Pt  0.1688  0.8312  0.2500
Pt  0.8312  0.1688  0.7500
Pt  0.6624  0.8312  0.2500



(2)
VASP calculation (PBE) on BeSbAs2 after structural relaxation.

Computed properties:
M_tot (μB per atom): 0.000
Density of states at the Fermi level (states/eV/atom): 0.350
Uncorrected formation energy (meV per atom): 337

a b c (Å): 3.0353 3.0353 8.5257
angles (deg): 90.00 90.00 90.00
Fractional positions:
Sb  0.5000  0.5000  0.7500
As  0.0000  0.0000  0.0885
As  0.0000  0.0000  0.4115
Be  0.5000  0.5000  0.2500



(3)
VASP calculation (PBE) on Zr2MnRu after structural relaxation.

Computed properties:
M_tot (μB per atom): 0.109
Density of states at the Fermi level (states/eV/atom): 0.715
Energy of formation from the pure elements (eV per atom): -0.33

a b c (Å): 4.5842 4.5843 3.2375
angles (deg): 89.99 89.99 90.00
Fractional positions:
Ru  0.0000  0.5000  0.5000
Mn  0.5000  0.0000  0.5000
Zr  0.0000  0.0000  0.0000
Zr  0.5000  0.5000  0.0000



(4)
VASP calculation (PBE) on CsZrCdW2 after structural relaxation.

Computed properties:
M_tot (μB per atom): 0.646
Density of states at the Fermi level (states/eV/atom): 1.273
Energy of formation from the pure elements (eV per atom): 2.27

a b c (Å): 5.0387 6.5257 5.0387
angles (deg): 90.00 90.00 90.00
Fractional positions:
Cs  0.0000  0.5000  0.0000
Zr  0.0000  0.0000  0.0000
W  0.0000  0.0000  0.5000
W  0.5000  0.0000  0.0000
Cd  0.5000  0.5000  0.5000